Entry 1:
# PdPtS2Cl PBE-GGA optimized geometry
data_PdPtS2Cl
_chemical_formula_sum 'Pd1 Pt1 S2 Cl1'
_cell_length_a 4.692
_cell_length_b 4.692
_cell_length_c 4.888
_cell_angle_alpha 90.00
_cell_angle_beta 90.00
_cell_angle_gamma 90.00
_space_group_name_H-M_alt 'P 1'
_space_group_IT_number 1
_space_group_name_Hall 'P 1'
loop_
_atom_site_label
_atom_site_fract_x
_atom_site_fract_y
_atom_site_fract_z
Pd1 0.000 0.000 0.000
Pt1 0.500 0.500 0.500
S1 0.000 0.500 0.500
S2 0.500 0.000 0.500
Cl1 0.500 0.500 0.000
# Relative energy among the computed polymorphs ... 0.00 kcal/mol of atoms
# Space group ... No. 123

---

Entry 2:
# LiErGeIr PBE-GGA optimized geometry
data_LiErGeIr
_chemical_formula_sum 'Li1 Er1 Ge1 Ir1'
_cell_length_a 4.570
_cell_length_b 4.570
_cell_length_c 4.570
_cell_angle_alpha 60.00
_cell_angle_beta 60.00
_cell_angle_gamma 60.00
_space_group_name_H-M_alt 'P 1'
_space_group_IT_number 1
_space_group_name_Hall 'P 1'
loop_
_atom_site_label
_atom_site_fract_x
_atom_site_fract_y
_atom_site_fract_z
Li1 0.000 0.000 0.000
Er1 0.750 0.750 0.750
Ge1 0.250 0.250 0.250
Ir1 0.500 0.500 0.500
# ΔH_f (0 K) ... -0.613 eV per atom
# Space group ... No. 216

---

Entry 3:
# Tb2Tm PBE-GGA optimized geometry
data_Tb2Tm
_chemical_formula_sum 'Tb4 Tm2'
_cell_length_a 9.176
_cell_length_b 9.176
_cell_length_c 9.176
_cell_angle_alpha 149.66
_cell_angle_beta 149.66
_cell_angle_gamma 43.44
_space_group_name_H-M_alt 'P 1'
_space_group_IT_number 1
_space_group_name_Hall 'P 1'
loop_
_atom_site_label
_atom_site_fract_x
_atom_site_fract_y
_atom_site_fract_z
Tb1 0.000 0.500 0.500
Tb2 0.152 0.152 0.000
Tb3 0.500 0.000 0.500
Tb4 0.848 0.848 0.000
Tm1 0.351 0.351 0.000
Tm2 0.649 0.649 0.000
# Relative energy among the computed polymorphs ... 4.69 kcal/mol of atoms
# ΔH_f (0 K) ... 0.222 eV per atom
# Space group ... No. 139

---

Entry 4:
# CsBiCl4 PBE-GGA optimized geometry
data_CsBiCl4
_chemical_formula_sum 'Cs2 Bi2 Cl8'
_cell_length_a 9.198
_cell_length_b 9.198
_cell_length_c 7.168
_cell_angle_alpha 107.90
_cell_angle_beta 107.90
_cell_angle_gamma 112.86
_space_group_name_H-M_alt 'P 1'
_space_group_IT_number 1
_space_group_name_Hall 'P 1'
loop_
_atom_site_label
_atom_site_fract_x
_atom_site_fract_y
_atom_site_fract_z
Cs1 0.137 0.863 0.750
Cs2 0.863 0.137 0.250
Bi1 0.421 0.579 0.250
Bi2 0.579 0.421 0.750
Cl1 0.151 0.549 0.311
Cl2 0.247 0.335 0.797
Cl3 0.335 0.247 0.297
Cl4 0.451 0.849 0.189
Cl5 0.549 0.151 0.811
Cl6 0.665 0.753 0.703
Cl7 0.753 0.665 0.203
Cl8 0.849 0.451 0.689
# Relative energy among the computed polymorphs ... 0.00 kcal/mol of atoms
# Space group ... No. 15

---

Entry 5:
# HfAlCd2 PBE-GGA optimized geometry
data_HfAlCd2
_chemical_formula_sum 'Hf2 Al2 Cd4'
_cell_length_a 6.216
_cell_length_b 6.216
_cell_length_c 6.216
_cell_angle_alpha 102.43
_cell_angle_beta 102.43
_cell_angle_gamma 124.71
_space_group_name_H-M_alt 'P 1'
_space_group_IT_number 1
_space_group_name_Hall 'P 1'
loop_
_atom_site_label
_atom_site_fract_x
_atom_site_fract_y
_atom_site_fract_z
Hf1 0.000 0.000 0.000
Hf2 0.750 0.250 0.500
Al1 0.250 0.750 0.500
Al2 0.500 0.500 0.000
Cd1 0.153 0.625 0.028
Cd2 0.375 0.403 0.528
Cd3 0.597 0.125 0.972
Cd4 0.875 0.847 0.472
# ΔH_f (0 K) ... 0.273 eV per atom
# Space group ... No. 122

---

Entry 6:
# La2TiCdO6 PBE-GGA optimized geometry
data_La2TiCdO6
_chemical_formula_sum 'La2 Ti1 Cd1 O6'
_cell_length_a 5.487
_cell_length_b 5.487
_cell_length_c 5.154
_cell_angle_alpha 90.00
_cell_angle_beta 90.00
_cell_angle_gamma 90.00
_space_group_name_H-M_alt 'P 1'
_space_group_IT_number 1
_space_group_name_Hall 'P 1'
loop_
_atom_site_label
_atom_site_fract_x
_atom_site_fract_y
_atom_site_fract_z
La1 0.000 0.500 0.000
La2 0.500 0.000 0.000
Ti1 0.000 0.000 0.596
Cd1 0.500 0.500 0.549
O1 0.000 0.000 0.242
O2 0.232 0.232 0.732
O3 0.232 0.768 0.732
O4 0.500 0.500 0.136
O5 0.768 0.232 0.732
O6 0.768 0.768 0.732
# Space group ... No. 99
# Electronic total energy ... -0.562 Ry/atom

---

Entry 7:
# Na3CaIn3Br8 PBE-GGA optimized geometry
data_Na3CaIn3Br8
_chemical_formula_sum 'Na3 Ca1 In3 Br8'
_cell_length_a 8.756
_cell_length_b 8.756
_cell_length_c 9.226
_cell_angle_alpha 118.36
_cell_angle_beta 118.36
_cell_angle_gamma 59.97
_space_group_name_H-M_alt 'P 1'
_space_group_IT_number 1
_space_group_name_Hall 'P 1'
loop_
_atom_site_label
_atom_site_fract_x
_atom_site_fract_y
_atom_site_fract_z
Na1 0.000 0.000 0.000
Na2 0.000 0.500 0.000
Na3 0.500 0.000 0.000
Ca1 0.500 0.500 0.000
In1 0.000 0.500 0.500
In2 0.500 0.000 0.500
In3 0.500 0.500 0.500
Br1 0.239 0.239 0.216
Br2 0.250 0.731 0.212
Br3 0.269 0.269 0.788
Br4 0.269 0.750 0.788
Br5 0.731 0.250 0.212
Br6 0.731 0.731 0.212
Br7 0.750 0.269 0.788
Br8 0.761 0.761 0.784
# Space group ... No. 12
# Electronic total energy ... -0.230 Ry/atom

---

Entry 8:
# Sc2TiAg PBE-GGA optimized geometry
data_Sc2TiAg
_chemical_formula_sum 'Sc2 Ti1 Ag1'
_cell_length_a 3.166
_cell_length_b 3.166
_cell_length_c 8.122
_cell_angle_alpha 90.00
_cell_angle_beta 90.00
_cell_angle_gamma 90.00
_space_group_name_H-M_alt 'P 1'
_space_group_IT_number 1
_space_group_name_Hall 'P 1'
loop_
_atom_site_label
_atom_site_fract_x
_atom_site_fract_y
_atom_site_fract_z
Sc1 0.000 0.000 0.249
Sc2 0.000 0.000 0.751
Ti1 0.500 0.500 0.500
Ag1 0.500 0.500 0.000
# ΔH_f (0 K) ... -0.078 eV per atom
# Space group ... No. 123